Here is crystalline GdGeNO at its relaxed geometry from OQMD via LeMat-Bulk. Energies are from PBE.

Cell lengths 3.927, 4.886, 6.558 Å; angles 90.00, 90.00, 90.00 degrees
Fractional positions:
O 0.500 0.018 0.870
O 0.500 0.518 0.130
N 0.000 0.821 0.374
N 0.000 0.321 0.626
Ge 0.000 0.939 0.666
Ge 0.000 0.439 0.334
Gd 0.500 0.976 0.201
Gd 0.500 0.476 0.799

Results
energy above the most stable polymorph in this dataset: 309 meV per atom

---

Here is crystalline YCoPbAu at its relaxed geometry from OQMD via LeMat-Bulk. Energies are from PBE.

Cell lengths 4.856, 4.856, 4.856 Å; angles 60.00, 60.00, 60.00 degrees
Fractional positions:
Pb 0.000 0.000 0.000
Au 0.500 0.500 0.500
Co 0.750 0.750 0.750
Y 0.250 0.250 0.250

Results
energy above the most stable polymorph in this dataset: 69 meV per atom

---

Here is crystalline Co2ReMo at its relaxed geometry from OQMD via LeMat-Bulk. Energies are from PBE.

Cell lengths 4.193, 4.193, 4.193 Å; angles 60.00, 60.00, 60.00 degrees
Fractional positions:
Co 0.000 0.000 0.000
Co 0.250 0.250 0.250
Mo 0.500 0.500 0.500
Re 0.750 0.750 0.750

Results
energy relative to the elements: 0.2373 eV/atom

---

Here is crystalline CsHf3Sn5 at its relaxed geometry from OQMD via LeMat-Bulk. Energies are from PBE.

Cell lengths 6.106, 6.106, 7.757 Å; angles 90.00, 90.00, 120.00 degrees
Fractional positions:
Hf 0.500 0.500 0.500
Hf 0.500 0.000 0.500
Hf 0.000 0.500 0.500
Sn 0.000 0.000 0.500
Sn 0.667 0.333 0.812
Sn 0.333 0.667 0.188
Sn 0.667 0.333 0.188
Sn 0.333 0.667 0.812
Cs 0.000 0.000 0.000

Results
E: -52.26 eV/f.u.

---

Here is crystalline PmNbPb at its relaxed geometry from OQMD via LeMat-Bulk. Energies are from PBE.

Cell lengths 4.976, 4.976, 4.976 Å; angles 60.00, 60.00, 60.00 degrees
Fractional positions:
Pb 0.000 0.000 0.000
Nb 0.250 0.250 0.250
Pm 0.750 0.750 0.750

Results
energy above the most stable polymorph in this dataset: 0 meV per atom

---

Here is crystalline Sr2PrW2 at its relaxed geometry from OQMD via LeMat-Bulk. Energies are from PBE.

Cell lengths 5.269, 5.812, 6.227 Å; angles 116.29, 90.09, 116.89 degrees
Fractional positions:
W 0.043 0.084 0.710
W 0.958 0.917 0.290
Pr 0.500 0.999 0.000
Sr 0.708 0.414 0.663
Sr 0.293 0.586 0.336

Results
E: -29.00 eV/f.u.